VASP calculation (PBE) on a relaxed structure of TbPm5Tl3. Values from VASP.

Calculated values
Calculated volume in Å³ per atom: 30.35
Energy relative to the elements in eV/atom: -0.2669
Symmetry: Cmcm
Total magnetic moment in μB/cell: 3.899
Crystal system: orthorhombic
DOS(E_F) in states/eV/f.u.: 11.75

The structure in Quantum ESPRESSO input format:
```
&SYSTEM
  ibrav = 0, nat = 18, ntyp = 3
/
ATOMIC_SPECIES
Pm 145.00 Pm.upf
Tb 158.93 Tb.upf
Tl 204.38 Tl.upf
CELL_PARAMETERS angstrom
6.878 0.000 0.000
0.000 9.582 0.000
0.000 -4.791 8.288
ATOMIC_POSITIONS crystal
Pm 0.250 0.337 0.337
Pm 0.250 0.000 0.663
Pm 0.750 0.000 0.337
Pm 0.250 0.664 0.000
Pm 0.500 0.666 0.332
Pm 0.000 0.334 0.668
Pm 0.000 0.666 0.332
Pm 0.500 0.334 0.668
Pm 0.750 0.663 0.663
Pm 0.750 0.336 0.000
Tb 0.000 0.000 0.000
Tb 0.500 0.000 0.000
Tl 0.250 0.328 0.000
Tl 0.250 0.672 0.672
Tl 0.750 0.328 0.328
Tl 0.750 0.672 0.000
Tl 0.750 0.000 0.672
Tl 0.250 0.000 0.328
```